Li2CaAgAu2: optimized geometry, PBE.

Output
- crystal system = trigonal
- ΔE_f (eV per atom) = -0.51

Cell lengths 4.5090, 4.5090, 6.6495 Å; angles 90.00, 90.00, 120.00 degrees
Closest atoms and distances in Å follow each position.
Space group P-3m1 (No. 164)
One atom of each set of equivalent atoms:
Li 0.3333 0.6667 0.1606  4 Au 2.66-2.68, 3 Ag 2.81
Ca 0.0000 0.0000 0.5000  6 Au 3.11, 2 Ag 3.32, 6 Li 3.45
Ag 0.0000 0.0000 0.0000  6 Li 2.81, 6 Au 3.06
Au 0.3333 0.6667 0.7571  4 Li 2.66-2.68